# Er3ThMg4, optimized geometry, DFT PBE-GGA
# Crystal system: orthorhombic
# DFT formation energy in eV/atom: -0.0276
data_Er3ThMg4
_chemical_formula_sum 'Er3 Th1 Mg4'
_space_group_name_H-M_alt 'P m m m'
_space_group_IT_number 47
_cell_length_a 3.793
_cell_length_b 5.347
_cell_length_c 10.674
_cell_angle_alpha 90.00
_cell_angle_beta 90.00
_cell_angle_gamma 90.00
loop_
_space_group_symop_operation_xyz
'x,y,z'
'-x,-y,-z'
'-x,-y,z'
'x,y,-z'
'x,-y,-z'
'-x,y,z'
'-x,y,-z'
'x,-y,z'
loop_
_atom_site_label
_atom_site_type_symbol
_atom_site_fract_x
_atom_site_fract_y
_atom_site_fract_z
Er1 Er 0.000 0.000 0.000
Er2 Er 0.000 0.500 0.252
Th1 Th 0.000 0.000 0.500
Mg1 Mg 0.500 0.000 0.243
Mg2 Mg 0.500 0.500 0.000
Mg3 Mg 0.500 0.500 0.500